Below is an optimized crystal structure of AcAlBr, with properties calculated at the GGA-PBE level.

Output
Calculated total energy, eV/atom: -4.060
Formation energy from raw total energies, eV/atom: -0.89
Calculated volume, Å³/atom: 31.5
Theoretical density, Mg/m³: 5.9
SG: P4/nmm

Cell: 3.778 3.778 13.252 Å, 90.00 90.00 90.00°
Atoms (fractional coordinates):
Br (0.000, 0.500, 0.859)
Ac (0.000, 0.500, 0.284)
Ac (0.500, 0.000, 0.716)
Br (0.500, 0.000, 0.141)
Al (0.000, 0.500, 0.543)
Al (0.500, 0.000, 0.457)